Here is SmEr2SnRh4 after structural relaxation from Alexandria via LeMat-Bulk. Energies are from PBE-GGA. Values from VASP.

Structure (Quantum ESPRESSO input):
```
&SYSTEM
  ibrav = 0, nat = 8, ntyp = 4
/
ATOMIC_SPECIES
Rh 102.91 Rh.upf
Sn 118.71 Sn.upf
Sm 150.36 Sm.upf
Er 167.26 Er.upf
CELL_PARAMETERS angstrom
4.776 0.000 0.000
2.388 4.136 0.000
2.388 1.379 7.831
ATOMIC_POSITIONS angstrom
Rh 2.388 1.379 4.882
Rh 7.164 4.136 2.948
Rh 4.776 2.757 6.753
Rh 4.776 2.757 1.078
Sn 4.776 2.757 3.915
Sm 0.000 0.000 0.000
Er 2.388 1.379 2.080
Er 7.164 4.136 5.751
```

symmetry	R-3m, No. 166
volume	19.3	Å³ per atom
formation energy from the elements	-796	meV per atom
magnetic moment	0.00	Bohr magnetons per cell



Here is Sm2ErSn2Rh5 after structural relaxation from Alexandria via LeMat-Bulk. Energies are from PBE-GGA. Values from VASP.

Structure (Quantum ESPRESSO input):
```
&SYSTEM
  ibrav = 0, nat = 20, ntyp = 4
/
ATOMIC_SPECIES
Rh 102.91 Rh.upf
Er 167.26 Er.upf
Sn 118.71 Sn.upf
Sm 150.36 Sm.upf
CELL_PARAMETERS angstrom
-0.422 -2.119 -3.140
8.662 -5.113 2.286
-5.483 -6.883 5.380
ATOMIC_POSITIONS angstrom
Rh -4.000 -6.851 2.846
Rh 1.533 -11.554 5.275
Rh -2.952 -4.501 1.120
Rh -0.766 -6.447 2.139
Rh 0.806 -8.811 3.523
Rh 1.951 -5.304 1.003
Rh 4.120 -3.616 -0.427
Rh 3.523 -7.668 2.387
Rh 1.224 -2.561 -0.750
Rh 6.757 -7.263 1.680
Er 1.589 -5.998 3.833
Er 0.000 0.000 0.000
Sn 5.519 -7.042 4.010
Sn -2.341 -4.954 3.656
Sn 2.547 -2.780 1.533
Sn 0.631 -9.217 6.133
Sm -0.314 -3.138 2.159
Sm 4.876 -4.615 2.459
Sm -1.698 -7.381 5.207
Sm 3.492 -8.858 5.507
```

symmetry	P4/mbm, No. 127
volume	20.3	Å³ per atom
formation energy from the elements	-644	meV per atom
magnetic moment	0.00	Bohr magnetons per cell



Here is Sm2ErTa2Rh5 after structural relaxation from Alexandria via LeMat-Bulk. Energies are from PBE-GGA. Values from VASP.

Structure (Quantum ESPRESSO input):
```
&SYSTEM
  ibrav = 0, nat = 20, ntyp = 4
/
ATOMIC_SPECIES
Er 167.26 Er.upf
Ta 180.95 Ta.upf
Sm 150.36 Sm.upf
Rh 102.91 Rh.upf
CELL_PARAMETERS angstrom
3.767 0.000 0.000
0.000 10.302 0.000
0.000 0.000 10.302
ATOMIC_POSITIONS angstrom
Er 0.000 5.151 5.151
Er 0.000 0.000 0.000
Ta 0.000 3.906 1.245
Ta 0.000 1.245 6.396
Ta 0.000 6.396 9.057
Ta 0.000 9.057 3.906
Sm 0.000 1.825 3.326
Sm 0.000 3.326 8.477
Sm 0.000 6.976 1.825
Sm 0.000 8.477 6.976
Rh 1.883 5.151 0.000
Rh 1.883 7.365 4.493
Rh 1.883 2.937 5.809
Rh 1.883 4.493 2.937
Rh 1.883 0.000 5.151
Rh 1.883 0.658 8.088
Rh 1.883 9.644 2.214
Rh 1.883 2.214 0.658
Rh 1.883 8.088 9.644
Rh 1.883 5.809 7.365
```

symmetry	P4/mbm, No. 127
volume	20.0	Å³ per atom
formation energy from the elements	-492	meV per atom
magnetic moment	0.00	Bohr magnetons per cell



Here is SmErTh2Rh4 after structural relaxation from Alexandria via LeMat-Bulk. Energies are from PBE-GGA. Values from VASP.

Structure (Quantum ESPRESSO input):
```
&SYSTEM
  ibrav = 0, nat = 8, ntyp = 4
/
ATOMIC_SPECIES
Sm 150.36 Sm.upf
Th 232.04 Th.upf
Rh 102.91 Rh.upf
Er 167.26 Er.upf
CELL_PARAMETERS angstrom
5.726 0.467 0.000
-0.157 5.743 0.000
-2.784 -3.105 5.586
ATOMIC_POSITIONS angstrom
Sm 5.207 5.807 0.000
Th 2.339 -0.351 2.793
Th -0.603 2.287 2.793
Rh 2.408 0.309 0.000
Rh 0.046 2.428 0.000
Rh -0.553 -0.617 3.013
Rh 2.231 2.488 2.574
Er 2.832 3.158 0.000
```

symmetry	Fmm2, No. 42
volume	23.0	Å³ per atom
formation energy from the elements	-778	meV per atom
magnetic moment	0.00	Bohr magnetons per cell



Here is SmErZnRh after structural relaxation from Alexandria via LeMat-Bulk. Energies are from PBE-GGA. Values from VASP.

Structure (Quantum ESPRESSO input):
```
&SYSTEM
  ibrav = 0, nat = 4, ntyp = 4
/
ATOMIC_SPECIES
Rh 102.91 Rh.upf
Er 167.26 Er.upf
Zn 65.41 Zn.upf
Sm 150.36 Sm.upf
CELL_PARAMETERS angstrom
-0.268 1.170 3.306
-3.318 0.989 -0.619
-2.287 -6.375 2.071
ATOMIC_POSITIONS angstrom
Rh -2.069 0.311 1.593
Er -0.781 -2.178 0.708
Zn -3.149 -2.702 2.572
Sm -1.995 -5.564 1.807
```

symmetry	P4mm, No. 99
ΔE to the lowest computed polymorph	0.000	eV/atom
volume	21.9	Å³ per atom
formation energy from the elements	-582	meV per atom
magnetic moment	0.00	Bohr magnetons per cell



Here is SmErZnRh after structural relaxation from Alexandria via LeMat-Bulk. Energies are from PBE-GGA. Values from VASP.

Structure (Quantum ESPRESSO input):
```
&SYSTEM
  ibrav = 0, nat = 4, ntyp = 4
/
ATOMIC_SPECIES
Rh 102.91 Rh.upf
Sm 150.36 Sm.upf
Er 167.26 Er.upf
Zn 65.41 Zn.upf
CELL_PARAMETERS angstrom
4.968 0.000 0.000
2.484 4.303 0.000
2.484 1.434 4.057
ATOMIC_POSITIONS angstrom
Rh 4.968 2.868 2.028
Sm 2.484 1.434 1.014
Er 7.453 4.303 3.042
Zn 0.000 0.000 0.000
```

symmetry	F-43m, No. 216
ΔE to the lowest computed polymorph	0.008	eV/atom
volume	21.7	Å³ per atom
formation energy from the elements	-574	meV per atom
magnetic moment	0.00	Bohr magnetons per cell



Here is Er4Sn6Rh7 after structural relaxation from Alexandria via LeMat-Bulk. Energies are from PBE-GGA. Values from VASP.

Structure (Quantum ESPRESSO input):
```
&SYSTEM
  ibrav = 0, nat = 17, ntyp = 3
/
ATOMIC_SPECIES
Er 167.26 Er.upf
Sn 118.71 Sn.upf
Rh 102.91 Rh.upf
CELL_PARAMETERS angstrom
7.139 0.000 -2.524
-3.570 6.183 -2.524
0.000 0.000 7.572
ATOMIC_POSITIONS angstrom
Er 3.570 0.000 -1.262
Er -1.785 3.091 -1.262
Er 1.785 3.091 1.262
Er 0.000 0.000 3.786
Sn -2.446 4.237 3.459
Sn 2.247 0.000 1.589
Sn -1.123 1.946 1.589
Sn 1.123 1.946 -1.589
Sn 4.892 0.000 3.459
Sn 2.446 4.237 -3.459
Rh 3.570 3.091 -1.262
Rh 4.462 1.546 1.262
Rh 0.000 0.000 0.000
Rh 0.000 3.091 3.786
Rh 2.677 1.546 3.786
Rh -0.892 4.637 1.262
Rh 0.892 4.637 -1.262
```

symmetry	Im-3m, No. 229
volume	19.7	Å³ per atom
formation energy from the elements	-818	meV per atom
magnetic moment	0.00	Bohr magnetons per cell



Here is Er8Sn2Rh after structural relaxation from Alexandria via LeMat-Bulk. Energies are from PBE-GGA. Values from VASP.

Structure (Quantum ESPRESSO input):
```
&SYSTEM
  ibrav = 0, nat = 11, ntyp = 3
/
ATOMIC_SPECIES
Er 167.26 Er.upf
Sn 118.71 Sn.upf
Rh 102.91 Rh.upf
CELL_PARAMETERS angstrom
-2.780 -1.282 -3.867
5.457 -0.814 -3.653
-0.137 -7.882 5.856
ATOMIC_POSITIONS angstrom
Er -1.665 -9.010 1.038
Er -1.821 -3.108 -0.806
Er 0.870 -2.553 -2.924
Er 1.096 -3.970 0.528
Er 1.444 -6.007 -2.192
Er 1.670 -7.424 1.260
Er 4.361 -6.869 -0.859
Er 4.205 -0.967 -2.703
Sn -1.057 -6.247 -0.315
Sn 3.597 -3.730 -1.350
Rh -1.390 -0.641 -1.934
```

symmetry	C2/m, No. 12
volume	27.3	Å³ per atom
formation energy from the elements	-448	meV per atom
magnetic moment	0.00	Bohr magnetons per cell